Entry 1:
DFT (SCAN) results for YBeIn at its PBEsol-relaxed geometry.

The calculation puts the total energy at -21.84 eV per atom.

The structure belongs to space group F-43m (No. 216); the cell edges are 6.538, 6.538 and 6.538 Å and the angles 90.00°, 90.00° and 90.00°. The distinct sites, in fractional coordinates, are Y at (0.000, 0.000, 0.000), Be at (0.000, 0.000, 0.500) and In at (0.250, 0.250, 0.250).

Entry 2:
DFT (SCAN) results for Sr2TaMn at its PBEsol-relaxed geometry.

The calculation puts the total energy at -31.27 eV per atom.

The structure belongs to space group Fm-3m (No. 225); the cell edges are 7.660, 7.660 and 7.660 Å and the angles 90.00°, 90.00° and 90.00°. The distinct sites, in fractional coordinates, are Sr at (0.250, 0.250, 0.250), Ta at (0.000, 0.000, 0.000) and Mn at (0.000, 0.000, 0.500).